Version w
VASP calculation (PBE-GGA) on TbY2In after structural relaxation.

```
data_TbY2In
_cell_length_a 7.732
_cell_length_b 7.732
_cell_length_c 7.732
_cell_angle_alpha 90.00
_cell_angle_beta 90.00
_cell_angle_gamma 90.00
_symmetry_space_group_name_H-M 'F m -3 m'
_symmetry_Int_Tables_number 225
_symmetry_space_group_name_Hall '-F 4 2 3'
loop_
_atom_site_label
_atom_site_fract_x
_atom_site_fract_y
_atom_site_fract_z
Tb1 0.000 0.000 0.000
Y1 0.250 0.250 0.250
In1 0.000 0.000 0.500
```

Computed properties:
size of the total moment	1.4	μB/f.u.

=====

Version x
VASP calculation (PBE-GGA) on TbY2In after structural relaxation.

```
data_TbY2In
_cell_length_a 3.6142
_cell_length_b 3.6142
_cell_length_c 32.4949
_cell_angle_alpha 90.00
_cell_angle_beta 90.00
_cell_angle_gamma 120.00
_symmetry_space_group_name_H-M 'R 3 m'
_symmetry_Int_Tables_number 160
_symmetry_space_group_name_Hall 'R 3 -2"'
loop_
_atom_site_label
_atom_site_fract_x
_atom_site_fract_y
_atom_site_fract_z
Tb1 0.0000 0.0000 0.0000
Y1 0.0000 0.0000 0.5778
Y2 0.0000 0.0000 0.7555
In1 0.0000 0.0000 0.1664
```

Computed properties:
size of the total moment	0.5	μB/f.u.

=====

Ordering by calculated energy gives the sequence version x, version w, with the first entry being the most stable.

=====

Version w
VASP calculation (PBE-GGA) on Tb3YIn3 after structural relaxation.

```
data_Tb3YIn3
_cell_length_a 9.0801
_cell_length_b 9.0801
_cell_length_c 5.5408
_cell_angle_alpha 90.00
_cell_angle_beta 90.00
_cell_angle_gamma 120.00
_symmetry_space_group_name_H-M 'P 63/m'
_symmetry_Int_Tables_number 176
_symmetry_space_group_name_Hall '-P 6c'
loop_
_atom_site_label
_atom_site_fract_x
_atom_site_fract_y
_atom_site_fract_z
Tb1 0.0952 0.6419 0.2500
Y1 0.3333 0.6667 0.7500
In1 0.0485 0.8156 0.7500
```

Computed properties:
size of the total moment	0.0	μB/f.u.

=====

Version x
VASP calculation (PBE-GGA) on Tb3YIn3 after structural relaxation.

```
data_Tb3YIn3
_cell_length_a 9.345
_cell_length_b 9.345
_cell_length_c 9.345
_cell_angle_alpha 90.00
_cell_angle_beta 90.00
_cell_angle_gamma 90.00
_symmetry_space_group_name_H-M 'P 21 3'
_symmetry_Int_Tables_number 198
_symmetry_space_group_name_Hall 'P 2ac 2ab 3'
loop_
_atom_site_label
_atom_site_fract_x
_atom_site_fract_y
_atom_site_fract_z
Tb1 0.074 0.426 0.574
Tb2 0.175 0.175 0.175
Tb3 0.175 0.825 0.325
Y1 0.074 0.574 0.926
In1 0.000 0.250 0.874
```

Computed properties:
size of the total moment	0.0	μB/f.u.

=====

Ordering by calculated energy gives the sequence version x, version w, with the first entry being the most stable.

=====

Version w
VASP calculation (PBE-GGA) on Tb3Y3In2 after structural relaxation.

```
data_Tb3Y3In2
_cell_length_a 4.860
_cell_length_b 4.883
_cell_length_c 9.688
_cell_angle_alpha 90.00
_cell_angle_beta 90.00
_cell_angle_gamma 90.00
_symmetry_space_group_name_H-M 'P m m m'
_symmetry_Int_Tables_number 47
_symmetry_space_group_name_Hall '-P 2 2'
loop_
_atom_site_label
_atom_site_fract_x
_atom_site_fract_y
_atom_site_fract_z
Tb1 0.000 0.000 0.000
Tb2 0.500 0.000 0.249
Y1 0.000 0.000 0.500
Y2 0.500 0.500 0.000
Y3 0.500 0.500 0.500
In1 0.000 0.500 0.251
```

Computed properties:
size of the total moment	1.3	μB/f.u.

=====

Version x
VASP calculation (PBE-GGA) on Tb3Y3In2 after structural relaxation.

```
data_Tb3Y3In2
_cell_length_a 5.198
_cell_length_b 11.855
_cell_length_c 15.843
_cell_angle_alpha 90.00
_cell_angle_beta 90.00
_cell_angle_gamma 90.00
_symmetry_space_group_name_H-M 'C m c m'
_symmetry_Int_Tables_number 63
_symmetry_space_group_name_Hall '-C 2c 2'
loop_
_atom_site_label
_atom_site_fract_x
_atom_site_fract_y
_atom_site_fract_z
Tb1 0.000 0.039 0.250
Tb2 0.000 0.143 0.530
Y1 0.000 0.242 0.750
Y2 0.000 0.460 0.604
In1 0.000 0.275 0.143
```

Computed properties:
size of the total moment	0.0	μB/f.u.

=====

Ordering by calculated energy gives the sequence version w, version x, with the first entry being the most stable.

=====

Version w
VASP calculation (PBE-GGA) on TbYIn6 after structural relaxation.

```
data_TbYIn6
_cell_length_a 6.6186
_cell_length_b 6.6186
_cell_length_c 5.3117
_cell_angle_alpha 90.00
_cell_angle_beta 90.00
_cell_angle_gamma 120.00
_symmetry_space_group_name_H-M 'P -6 m 2'
_symmetry_Int_Tables_number 187
_symmetry_space_group_name_Hall 'P -6 2'
loop_
_atom_site_label
_atom_site_fract_x
_atom_site_fract_y
_atom_site_fract_z
Tb1 0.0000 0.0000 0.0000
Y1 0.3333 0.6667 0.5000
In1 0.3439 0.1719 0.5000
In2 0.5051 0.0102 0.0000
```

Computed properties:
size of the total moment	0.0	μB/f.u.

=====

Version x
VASP calculation (PBE-GGA) on TbYIn6 after structural relaxation.

```
data_TbYIn6
_cell_length_a 4.645
_cell_length_b 4.645
_cell_length_c 9.289
_cell_angle_alpha 90.00
_cell_angle_beta 90.00
_cell_angle_gamma 90.00
_symmetry_space_group_name_H-M 'P 4/m m m'
_symmetry_Int_Tables_number 123
_symmetry_space_group_name_Hall '-P 4 2'
loop_
_atom_site_label
_atom_site_fract_x
_atom_site_fract_y
_atom_site_fract_z
Tb1 0.000 0.000 0.000
Y1 0.000 0.000 0.500
In1 0.000 0.500 0.250
In2 0.500 0.500 0.000
In3 0.500 0.500 0.500
```

Computed properties:
size of the total moment	0.0	μB/f.u.

=====

Ordering by calculated energy gives the sequence version x, version w, with the first entry being the most stable.